A plane-wave DFT calculation with PBE with a Hubbard U was carried out for an optimized crystal structure of VCoO2F.

a = 3.798 Å, b = 3.798 Å, c = 3.678 Å
α = 90.00°, β = 90.00°, γ = 90.00°
Last column: magnetic moment on the atom in μB.
Fractional coordinates of all 5 atoms:
O 0.500 0.000 0.000  -0.12
O 0.000 0.500 0.000  -0.12
Co 0.000 0.000 0.000  0.40
F 0.000 0.000 0.500  -0.01
V 0.500 0.500 0.500  2.68

Calculated values
Density of states at the Fermi level = 1.63 states/eV/cell
Total moment = 3.00 μB/cell
Crystal system = tetragonal
Space-group type = P4/mmm, No. 123
Total energy = -5.72 eV/atom